Entry 1:
Sr2WC4 | PBE | optimized geometry

## Properties
**D(E_F)**: 9.65 states/eV/cell
**Spin magnetization**: 0.000 μB per cell
**Energy relative to the elements**: 0.918 eV/atom
**Density**: 5.78 g/cm³

Unit cell a=4.154 b=4.154 c=13.552 alpha=90.00 beta=90.00 gamma=90.00
Space group I4/mmm (No. 139)
Symmetry-distinct sites (fractional):
Sr 0.000 0.000 0.144 [4 per cell]
W 0.000 0.000 0.500 [2 per cell]
C 0.000 0.000 0.348 [4 per cell]
C 0.000 0.500 0.000 [4 per cell]

***

Entry 2:
PrEr3P4 | PBE | optimized geometry

## Properties
**D(E_F)**: 1.58 states/eV/cell
**Spin magnetization**: 0.001 μB per cell
**Energy relative to the elements**: -1.570 eV/atom
**Density**: 6.88 g/cm³

Unit cell a=8.058 b=11.397 c=4.032 alpha=90.00 beta=90.00 gamma=90.00
Space group Cmmm (No. 65)
Symmetry-distinct sites (fractional):
Pr 0.000 0.000 0.000 [2 per cell]
Er 0.000 0.500 0.000 [2 per cell]
Er 0.250 0.250 0.500 [4 per cell]
P 0.000 0.255 0.000 [4 per cell]
P 0.240 0.500 0.500 [4 per cell]

***

Entry 3:
BeMoPt | PBE | optimized geometry

## Properties
**Energy above the lowest structure with this stoichiometry**: 2.270 eV per atom
**D(E_F)**: 9.78 states/eV/cell
**Spin magnetization**: 0.001 μB per cell
**Energy relative to the elements**: 1.864 eV/atom
**Density**: 7.88 g/cm³

Unit cell a=3.8851 b=3.8851 c=9.6754 alpha=90.00 beta=90.00 gamma=120.00
Space group P6_3/mmc (No. 194)
Symmetry-distinct sites (fractional):
Be 0.3333 0.6667 0.2500 [2 per cell]
Mo 0.0000 0.0000 0.2500 [2 per cell]
Pt 0.0000 0.0000 0.0000 [2 per cell]

***

Entry 4:
K3AuI | PBE | optimized geometry

## Properties
**Energy above the lowest structure with this stoichiometry**: 0.000 eV per atom
**Formation energy (no corrections)**: -0.67 eV per atom
**D(E_F)**: 3.27 states/eV/cell
**Spin magnetization**: 0.000 μB per cell
**Density**: 3.38 g/cm³

Unit cell a=9.607 b=4.791 c=9.745 alpha=90.00 beta=104.98 gamma=90.00
Space group P2_1/m (No. 11)
Symmetry-distinct sites (fractional):
K 0.070 0.250 0.218 [2 per cell]
K 0.240 0.750 0.581 [2 per cell]
K 0.428 0.750 0.195 [2 per cell]
Au 0.417 0.250 0.438 [2 per cell]
I 0.226 0.250 0.919 [2 per cell]

***

Entry 5:
K4CdOs | PBE | optimized geometry

## Properties
**D(E_F)**: 18.40 states/eV/cell
**Spin magnetization**: 8.939 μB per cell
**Energy relative to the elements**: 1.185 eV/atom
**Density**: 3.24 g/cm³

Unit cell a=9.796 b=9.796 c=9.796 alpha=90.00 beta=90.00 gamma=90.00
Space group F-43m (No. 216)
Symmetry-distinct sites (fractional):
K 0.124 0.124 0.124 [16 per cell]
Cd 0.000 0.000 0.500 [4 per cell]
Os 0.250 0.250 0.750 [4 per cell]

***

Entry 6:
La2EuMg | PBE | optimized geometry

## Properties
**Energy above the lowest structure with this stoichiometry**: 0.033 eV per atom
**D(E_F)**: 4.42 states/eV/cell
**Spin magnetization**: 7.265 μB per cell
**Energy relative to the elements**: 0.014 eV/atom
**Density**: 5.47 g/cm³

Unit cell a=5.743 b=5.743 c=4.183 alpha=90.00 beta=90.00 gamma=90.00
Space group P4/mmm (No. 123)
Symmetry-distinct sites (fractional):
La 0.000 0.500 0.000 [2 per cell]
Eu 0.000 0.000 0.500 [1 per cell]
Mg 0.500 0.500 0.500 [1 per cell]

***

Entry 7:
Ba3Cd7Pb4 | PBE | optimized geometry

## Properties
**D(E_F)**: 8.72 states/eV/cell
**Spin magnetization**: 0.000 μB per cell
**Energy relative to the elements**: -0.318 eV/atom
**Density**: 7.87 g/cm³

Unit cell a=18.514 b=5.175 c=10.976 alpha=90.00 beta=125.59 gamma=90.00
Space group C2/m (No. 12)
Symmetry-distinct sites (fractional):
Ba 0.000 0.000 0.000 [2 per cell]
Ba 0.203 0.500 0.699 [4 per cell]
Cd 0.000 0.000 0.500 [2 per cell]
Cd 0.001 0.500 0.328 [4 per cell]
Cd 0.135 0.000 0.422 [4 per cell]
Cd 0.149 0.500 0.009 [4 per cell]
Pb 0.147 0.000 0.862 [4 per cell]
Pb 0.158 0.500 0.295 [4 per cell]

***

Entry 8:
CaNdNi | PBE | optimized geometry

## Properties
**Energy above the lowest structure with this stoichiometry**: 0.000 eV per atom
**D(E_F)**: 11.08 states/eV/cell
**Spin magnetization**: 0.000 μB per cell
**Energy relative to the elements**: -0.210 eV/atom
**Density**: 4.71 g/cm³

Unit cell a=3.885 b=21.381 c=4.127 alpha=90.00 beta=90.00 gamma=90.00
Space group Cmcm (No. 63)
Symmetry-distinct sites (fractional):
Ca 0.000 0.188 0.250 [4 per cell]
Nd 0.000 0.430 0.250 [4 per cell]
Ni 0.000 0.036 0.250 [4 per cell]

***

Entry 9:
ReAs2Cl | PBE | optimized geometry

## Properties
**Energy above the lowest structure with this stoichiometry**: 0.468 eV per atom
**Formation energy (no corrections)**: 0.52 eV per atom
**D(E_F)**: 7.42 states/eV/cell
**Spin magnetization**: 0.006 μB per cell
**Density**: 8.09 g/cm³

Unit cell a=2.947 b=4.666 c=11.089 alpha=90.00 beta=90.00 gamma=90.00
Space group Immm (No. 71)
Symmetry-distinct sites (fractional):
Re 0.000 0.000 0.000 [2 per cell]
As 0.000 0.500 0.311 [4 per cell]
Cl 0.000 0.000 0.500 [2 per cell]

***

Entry 10:
ZrMoAsBr2 | PBE | optimized geometry

## Properties
**Energy above the lowest structure with this stoichiometry**: 0.000 eV per atom
**Formation energy (no corrections)**: 0.42 eV per atom
**D(E_F)**: 2.93 states/eV/cell
**Spin magnetization**: 4.692 μB per cell
**Density**: 4.75 g/cm³

Unit cell a=5.235 b=5.235 c=5.384 alpha=90.00 beta=90.00 gamma=90.00
Space group P4/mmm (No. 123)
Symmetry-distinct sites (fractional):
Zr 0.000 0.000 0.000 [1 per cell]
Mo 0.500 0.500 0.500 [1 per cell]
As 0.000 0.000 0.500 [1 per cell]
Br 0.000 0.500 0.000 [2 per cell]

***

Entry 11:
Ac4Sb5H | PBE | optimized geometry

## Properties
**D(E_F)**: 11.77 states/eV/cell
**E**: -4.824 eV per atom
**Spin magnetization**: 0.000 μB per cell
**Density**: 7.42 g/cm³

Unit cell a=4.629 b=11.422 c=12.855 alpha=90.00 beta=90.00 gamma=90.00
Space group Immm (No. 71)
Symmetry-distinct sites (fractional):
Ac 0.000 0.000 0.186 [4 per cell]
Ac 0.000 0.206 0.500 [4 per cell]
Sb 0.000 0.332 0.191 [8 per cell]
Sb 0.000 0.500 0.500 [2 per cell]
H 0.000 0.000 0.500 [2 per cell]

***

Entry 12:
LiRuW2 | PBE | optimized geometry

## Properties
**D(E_F)**: 7.74 states/eV/cell
**Spin magnetization**: 0.529 μB per cell
**Energy relative to the elements**: 0.279 eV/atom
**Density**: 12.77 g/cm³

Unit cell a=3.104 b=4.447 c=8.960 alpha=90.00 beta=90.00 gamma=90.00
Space group Cmm2 (No. 35)
Symmetry-distinct sites (fractional):
Li 0.000 0.000 0.000 [2 per cell]
Ru 0.000 0.500 0.757 [2 per cell]
W 0.000 0.000 0.520 [2 per cell]
W 0.000 0.500 0.268 [2 per cell]